# Fe2ReAg GGA-PBE optimized geometry
# Relative energy among the computed polymorphs: 357 meV per atom
# Formation energy: 2.63 eV/f.u.
data_Fe2ReAg
_chemical_formula_sum 'Fe8 Re4 Ag4'
_symmetry_space_group_name_H-M 'F -4 3 m'
_symmetry_Int_Tables_number 216
_symmetry_space_group_name_Hall 'F -4 2 3'
_cell_length_a 6.082
_cell_length_b 6.082
_cell_length_c 6.082
_cell_angle_alpha 90.00
_cell_angle_beta 90.00
_cell_angle_gamma 90.00
loop_
_atom_site_label
_atom_site_type_symbol
_atom_site_fract_x
_atom_site_fract_y
_atom_site_fract_z
Fe1 Fe 0.000 0.000 0.000
Fe2 Fe 0.250 0.250 0.250
Re1 Re 0.250 0.250 0.750
Ag1 Ag 0.000 0.000 0.500